Crystalline CsTcN3 at its relaxed geometry. Source: Alexandria, functional PBE-GGA.

```
5
Lattice="-0.616 1.643 -3.702 -1.055 -3.681 -1.458 -3.911 0.734 0.976" Properties=species:S:1:pos:R:3 pbc="T T T"
Cs -2.791 -0.652 -2.092
Tc 0.000 0.000 0.000
N -0.527 -1.840 -0.729
N -1.955 0.367 0.488
N -0.308 0.822 -1.851
```

Computed properties:
Magnetization   0.27 μB/atom
ΔE_f (raw)   0.817 eV per atom
Space-group type   Pm-3m
Electronic total energy   -6.422 eV/atom


Crystalline CsTcTe2N at its relaxed geometry. Source: Alexandria, functional PBE-GGA.

```
5
Lattice="-3.858 3.603 -2.804 -4.507 -3.590 1.589 -0.458 1.982 3.177" Properties=species:S:1:pos:R:3 pbc="T T T"
Cs -4.412 0.997 0.981
Te -2.254 -1.795 0.794
Te -1.929 1.801 -1.402
Tc 0.000 0.000 0.000
N -0.229 0.991 1.588
```

Computed properties:
Magnetization   0.27 μB/atom
ΔE_f (raw)   0.107 eV per atom
Space-group type   P4/mmm
Electronic total energy   -5.058 eV/atom
Relative energy among the computed polymorphs   0.00 eV/f.u.


Crystalline CsTcTe2N at its relaxed geometry. Source: Alexandria, functional PBE-GGA.

```
5
Lattice="-0.772 3.867 5.028 -4.153 -4.137 2.544 3.300 -2.038 2.074" Properties=species:S:1:pos:R:3 pbc="T T T"
Cs 0.000 0.000 0.000
Te -2.077 -2.068 1.272
Te -0.386 1.933 2.514
Tc -0.812 -1.154 4.823
N 1.650 -1.019 1.037
```

Computed properties:
Magnetization   1.18 μB/atom
ΔE_f (raw)   2.321 eV per atom
Space-group type   P4/mmm
Electronic total energy   -2.844 eV/atom
Relative energy among the computed polymorphs   11.07 eV/f.u.


Crystalline Cs2ThTc2N6 at its relaxed geometry. Source: Alexandria, functional PBE-GGA.

```
11
Lattice="-2.191 6.068 -0.168 -1.065 -3.673 5.200 6.951 2.487 -0.829" Properties=species:S:1:pos:R:3 pbc="T T T"
Cs -0.903 3.163 2.047
Cs 4.598 1.720 2.156
Th 2.380 4.278 -0.499
Tc 2.513 4.441 3.653
Tc 1.182 0.442 0.550
N 2.800 4.496 1.895
N 1.382 2.087 -0.106
N 3.489 -0.460 4.399
N 2.314 2.796 4.309
N 0.206 5.342 -0.196
N 0.896 0.387 2.308
```

Computed properties:
Magnetization   0.00 μB/atom
ΔE_f (raw)   -0.401 eV per atom
Space-group type   C2/m
Electronic total energy   -7.657 eV/atom


Crystalline CsTeN at its relaxed geometry. Source: Alexandria, functional PBE-GGA.

```
6
Lattice="3.690 0.000 0.000 0.000 6.868 0.000 0.000 0.000 7.811" Properties=species:S:1:pos:R:3 pbc="T T T"
Cs 0.000 3.434 7.667
Cs 1.845 0.000 3.761
Te 0.000 3.434 3.560
Te 1.845 0.000 7.465
N 0.000 0.000 6.402
N 1.845 3.434 2.497
```

Computed properties:
Magnetization   0.00 μB/atom
ΔE_f (raw)   0.253 eV per atom
Space-group type   Imm2
Electronic total energy   -3.854 eV/atom
Relative energy among the computed polymorphs   1.94 eV/f.u.


Crystalline CsTeN at its relaxed geometry. Source: Alexandria, functional PBE-GGA.

```
3
Lattice="-1.776 -2.369 -3.029 3.210 -3.493 0.850 -2.985 -1.946 3.276" Properties=species:S:1:pos:R:3 pbc="T T T"
Cs -0.776 -3.904 0.549
Te 0.000 0.000 0.000
N -0.888 -1.185 -1.514
```

Computed properties:
Magnetization   0.00 μB/atom
ΔE_f (raw)   0.267 eV per atom
Space-group type   Pmmm
Electronic total energy   -3.840 eV/atom
Relative energy among the computed polymorphs   1.98 eV/f.u.


Crystalline CsTe2N2 at its relaxed geometry. Source: Alexandria, functional PBE-GGA.

```
5
Lattice="-2.085 -3.529 1.833 3.153 -2.729 -1.667 4.429 0.937 6.842" Properties=species:S:1:pos:R:3 pbc="T T T"
Cs 0.000 0.000 0.000
Te 2.748 -2.660 3.504
Te 2.214 0.469 3.421
N 1.576 -1.364 -0.833
N -1.043 -1.765 0.917
```

Computed properties:
Magnetization   0.46 μB/atom
ΔE_f (raw)   2.080 eV per atom
Space-group type   P4/mmm
Electronic total energy   -2.678 eV/atom
Relative energy among the computed polymorphs   8.02 eV/f.u.


Crystalline Cs3Te2N2 at its relaxed geometry. Source: Alexandria, functional PBE-GGA.

```
7
Lattice="-6.434 -1.559 0.878 6.674 -5.636 -3.892 10.792 0.628 4.067" Properties=species:S:1:pos:R:3 pbc="T T T"
Cs 0.000 0.000 0.000
Cs 3.550 -2.007 0.422
Cs 7.483 -4.561 0.630
Te 6.838 -0.890 2.028
Te 4.194 -5.678 -0.976
N 10.765 -2.621 2.147
N 0.268 -3.947 -1.095
```

Computed properties:
Magnetization   0.15 μB/atom
ΔE_f (raw)   -0.610 eV per atom
Space-group type   P-1
Electronic total energy   -4.252 eV/atom


Crystalline CsTe2N2 at its relaxed geometry. Source: Alexandria, functional PBE-GGA.

```
5
Lattice="-4.468 2.519 -2.129 -2.808 -7.053 4.772 1.427 0.642 2.926" Properties=species:S:1:pos:R:3 pbc="T T T"
Cs 0.000 0.000 0.000
Te -2.437 -3.299 3.784
Te -3.412 -0.592 1.786
N -1.952 0.587 2.697
N -3.897 -4.479 2.872
```

Computed properties:
Magnetization   0.00 μB/atom
ΔE_f (raw)   0.477 eV per atom
Space-group type   P-1
Electronic total energy   -4.281 eV/atom
Relative energy among the computed polymorphs   0.00 eV/f.u.


Crystalline Cs2TeN at its relaxed geometry. Source: Alexandria, functional PBE-GGA.

```
4
Lattice="3.274 1.579 5.130 1.902 5.937 0.811 -2.650 3.570 4.445" Properties=species:S:1:pos:R:3 pbc="T T T"
Cs 0.631 2.772 2.596
Cs 1.894 8.315 7.789
Te 1.263 5.543 5.193
N 0.000 0.000 0.000
```

Computed properties:
Magnetization   0.75 μB/atom
ΔE_f (raw)   0.389 eV per atom
Space-group type   Fm-3m
Electronic total energy   -2.904 eV/atom


Crystalline CsTeN at its relaxed geometry. Source: Alexandria, functional PBE-GGA.

```
3
Lattice="-3.122 -0.008 -2.547 1.151 -3.599 -1.400 -3.527 -2.814 4.333" Properties=species:S:1:pos:R:3 pbc="T T T"
Cs -2.509 -2.002 3.083
Te -1.702 -2.375 -1.093
N -4.154 -4.330 1.918
```

Computed properties:
Magnetization   0.00 μB/atom
ΔE_f (raw)   0.310 eV per atom
Space-group type   P4mm
Electronic total energy   -3.797 eV/atom
Relative energy among the computed polymorphs   2.11 eV/f.u.


Crystalline CsTeN at its relaxed geometry. Source: Alexandria, functional PBE-GGA.

```
3
Lattice="3.690 -0.005 0.001 -0.048 5.449 0.002 -1.818 -0.013 5.060" Properties=species:S:1:pos:R:3 pbc="T T T"
Cs 2.882 -0.004 2.039
Te -0.788 2.467 4.733
N 1.056 1.549 4.193
```

Computed properties:
Magnetization   0.00 μB/atom
ΔE_f (raw)   0.269 eV per atom
Space-group type   P1
Electronic total energy   -3.837 eV/atom
Relative energy among the computed polymorphs   1.99 eV/f.u.